A plane-wave DFT calculation with GGA-PBE was carried out for a relaxed structure of Ac2NpF11.

Computed properties:
* calculated total energy: -6.706 eV/atom
* M_tot: 2.0 μB per formula unit

The structure in POSCAR format:
```
Ac2NpF11
1.0
7.909 0.000 4.122
3.715 7.927 2.520
0.284 -0.233 9.103
F Ac Np
22 4 2
Direct
0.177 0.080 0.198 F
0.677 0.698 0.580 F
0.752 0.494 0.820 F
0.955 0.420 0.302 F
0.545 0.198 0.080 F
0.621 0.279 0.721 F
0.121 0.221 0.779 F
0.066 0.180 0.506 F
0.748 0.680 0.006 F
0.323 0.302 0.420 F
0.934 0.820 0.494 F
0.248 0.506 0.180 F
0.879 0.779 0.221 F
0.379 0.721 0.279 F
0.566 0.006 0.680 F
0.045 0.580 0.698 F
0.500 0.500 0.500 F
0.252 0.320 0.994 F
0.000 0.000 0.000 F
0.455 0.802 0.920 F
0.823 0.920 0.802 F
0.434 0.994 0.320 F
0.857 0.184 0.816 Ac
0.357 0.316 0.684 Ac
0.143 0.816 0.184 Ac
0.643 0.684 0.316 Ac
0.750 0.750 0.750 Np
0.250 0.250 0.250 Np
```